Crystalline BaY2As at its relaxed geometry, computed with GGA-PBE.

The density of states at the Fermi level comes out at 1.11 states/eV/atom. The formation energy is -114 meV per atom. Its crystal system is monoclinic.

It has space group C2/m (No. 12), with a = 6.8909 Å, b = 11.3705 Å, c = 3.7121 Å, α = 90.00°, β = 121.41° and γ = 90.00°. Symmetry generates all atoms from Ba at (0.0000, 0.0000, 0.0000), Y at (0.2500, 0.2500, 0.5000) and As at (0.0000, 0.5000, 0.0000).